Entry from Alexandria via LeMat-Bulk: Li2PrAg4 after structural relaxation (PBE-GGA).

Values from the calculation:
Total energy ... -21.03 eV/f.u.
Crystal system ... orthorhombic
D(E_F) ... 4.1 states/eV/cell
Formation enthalpy at 0 K ... -0.145 eV/atom
V ... 145 Å³ per cell
Total moment ... 0.0 μB/cell

a = 9.819 Å, b = 9.819 Å, c = 9.819 Å
α = 161.10°, β = 151.85°, γ = 34.13°
Element x y z (fractional)
Li: 0.196 0.196 0.000
Li: 0.804 0.804 0.000
Pr: 0.500 0.000 0.500
Ag: 0.077 0.577 0.500
Ag: 0.341 0.341 0.000
Ag: 0.659 0.659 0.000
Ag: 0.923 0.423 0.500